A plane-wave DFT calculation with PBE with a Hubbard U was carried out for crystalline CaMn2TlO at its relaxed geometry.

The space group is P4/mmm (No. 123) and the conventional cell measures 6.152, 6.152 and 4.131 Å, with angles of 90.00, 90.00 and 90.00 degrees. The inequivalent atoms are Ca at (0.000, 0.000, 0.000), Mn at (0.000, 0.500, 0.000), Tl at (0.500, 0.500, 0.500) and O at (0.000, 0.000, 0.500).

The calculation puts the density at 3.93 g/cm3. The calculation puts the electronic total energy at -4.5688 eV per atom. The calculation puts the volume at 156.33 Å³/cell. The value obtained for the total magnetization is 1.95 μB/atom.